Record 1
Rb2Pt3S4 | the Alexandria database | PBEsol | relaxed; calculated total energy = -5.23 eV/atom; crystal system = orthorhombic; spin magnetization = 0.000 μB per atom; symmetry = No. 69
1.0
6.278 0.001 0.000
-3.029 5.499 0.000
-1.625 -2.750 6.355
Rb Pt S
2 3 4
Direct
0.349 0.349 0.697
0.651 0.651 0.303
0.000 0.500 0.000
0.000 0.000 0.000
0.500 0.000 0.000
0.284 0.947 0.231
0.716 0.053 0.769
0.947 0.284 0.231
0.053 0.716 0.769

=====

Record 2
Rb2YPtS | the Alexandria database | PBEsol | relaxed; calculated total energy = -4.10 eV/atom; crystal system = tetragonal; spin magnetization = 0.000 μB per atom; symmetry = No. 123
1.0
-0.918 2.118 4.623
3.703 -3.795 2.474
4.410 3.752 -0.844
Pt Rb Y S
1 2 1 1
Direct
0.500 0.500 0.500
0.000 0.000 0.500
0.000 0.500 0.000
0.500 0.000 0.000
0.000 0.000 0.000

=====

Record 3
RbSbPt3 | the Alexandria database | PBEsol | relaxed; calculated total energy = -3.16 eV/atom; crystal system = cubic; spin magnetization = 0.000 μB per atom; symmetry = No. 221
1.0
4.954 0.000 0.000
0.000 4.954 0.000
0.000 0.000 4.954
Rb Pt Sb
1 3 1
Direct
0.000 0.000 0.000
0.500 0.000 0.000
0.000 0.500 0.000
0.000 0.000 0.500
0.500 0.500 0.500

=====

Record 4
Rb2SbPt | the Alexandria database | PBEsol | relaxed; calculated total energy = -3.60 eV/atom; crystal system = tetragonal; spin magnetization = 0.000 μB per atom; symmetry = No. 122
1.0
4.945 0.000 0.000
2.472 9.132 0.000
2.472 0.000 9.132
Rb Sb Pt
4 2 2
Direct
0.834 0.291 0.791
0.375 0.791 0.709
0.916 0.709 0.209
0.875 0.209 0.291
0.250 0.500 0.500
0.500 0.000 0.000
0.000 0.000 0.000
0.750 0.500 0.500

=====

no.,uncorrected formation energy (eV/atom)
1,-0.7283
2,-0.0587
3,2.1341
4,-0.2082